Below is an optimized crystal structure of PuNbGa, with properties calculated at the PBE-GGA level.

Total DFT energy (no corrections) = -54.89 eV per cell
Total magnetization = 4.90 μB per formula unit
Energy of formation = -1 kJ/mol of atoms
Mass density = 11.12 g/cm³
Excess energy over the best structure of this formula in the dataset = 0.000 eV per atom

a = 3.595 Å, b = 3.595 Å, c = 9.397 Å
α = 90.00°, β = 90.00°, γ = 90.00°
Space group I4mm (No. 107)
Symmetry-distinct sites (fractional):
Pu (0.000, 0.000, 0.000)
Nb (0.000, 0.000, 0.294)
Ga (0.000, 0.000, 0.680)